A plane-wave DFT calculation with PBE was carried out for a geometry-optimized Te6PdPt structure.

The structure in POSCAR format:
```
Te6PdPt
1.0
-2.6612 -4.4580 4.2454
0.2013 -6.5461 -1.4491
3.9159 -4.0859 3.4637
Te Pd Pt
6 1 1
Cartesian
0.9325 -6.7058 5.7269
2.9017 -6.2246 2.1196
0.5235 -8.3842 0.5331
-1.4457 -8.8653 4.1404
1.8727 -10.0140 3.4249
-0.4167 -5.0760 2.8351
0.7280 -7.5450 3.1300
0.0000 0.0000 0.0000
```

Values from the calculation:
ΔE_f (raw), eV per atom: -0.19
Total energy, eV per atom: -3.95

***

A plane-wave DFT calculation with PBE was carried out for a geometry-optimized Sm2AgAu3 structure.

The structure in POSCAR format:
```
Sm2AgAu3
1.0
5.8756 -0.7930 0.0000
-1.0206 5.8404 0.0000
-2.4275 -2.5237 8.2166
Sm Au Ag
4 6 2
Cartesian
3.6454 3.7898 0.0000
2.9378 -0.3965 4.1083
-0.5103 2.9202 4.1083
1.2096 1.2576 0.0000
4.1353 0.8810 1.3851
1.7078 -1.6427 6.8315
-1.7078 1.6427 6.8315
0.7197 4.1664 1.3851
0.0000 0.0000 2.7442
2.4275 2.5237 5.4724
2.4275 2.5237 2.7400
0.0000 0.0000 5.4766
```

Values from the calculation:
Formation energy from the elements, eV per atom: -0.64
Total energy, eV per atom: -4.33

***

A plane-wave DFT calculation with PBE was carried out for a geometry-optimized LaSiNi structure.

The structure in POSCAR format:
```
LaSiNi
1.0
-2.3335 3.2130 -0.7686
0.4023 -0.9798 -5.3174
-3.4581 -4.6510 1.6987
La Si Ni
2 2 2
Cartesian
-4.5510 -1.4839 -3.0284
-0.8384 -0.9340 -1.3589
-1.9487 0.0870 -4.3623
-3.4407 -2.5049 -0.0250
-1.5852 -2.1223 -4.0592
-3.8042 -0.2956 -0.3281
```

Values from the calculation:
ΔE_f (raw), eV per atom: -0.70
Total energy, eV per atom: -6.07

***

A plane-wave DFT calculation with PBE was carried out for a geometry-optimized LaMnTe structure.

The structure in POSCAR format:
```
LaMnTe
1.0
6.0606 -0.3177 0.3401
5.0432 3.3731 0.3530
1.0174 0.2645 3.6813
La Te Mn
1 1 1
Cartesian
11.0537 3.0415 0.7080
7.9860 2.1927 1.6168
4.1855 1.1411 2.7427
```

Values from the calculation:
ΔE_f (raw), eV per atom: -0.36
Total energy, eV per atom: -6.11

***

A plane-wave DFT calculation with PBE was carried out for a geometry-optimized Ti2AuN structure.

The structure in POSCAR format:
```
Ti2AuN
1.0
-5.2526 2.7977 -0.4152
0.2998 -0.3201 -5.9495
-4.1280 -1.8497 -3.0994
Au Ti N
2 4 2
Cartesian
0.0000 0.0000 0.0000
-5.9285 1.0934 -3.3485
-4.9246 -0.4889 -5.2820
-2.0051 -0.0444 -4.5850
-3.7735 0.9778 -1.7382
-7.4585 0.8113 -7.3229
-3.1523 -0.4655 -6.1156
-2.4764 1.2388 -3.1823
```

Values from the calculation:
ΔE_f (raw), eV per atom: -0.73
Total energy, eV per atom: -7.58

***

A plane-wave DFT calculation with PBE was carried out for a geometry-optimized KCa2P4O18 structure.

The structure in POSCAR format:
```
KCa2P4O18
1.0
-5.4871 -0.0194 -0.0939
2.4979 5.8748 -0.2395
-1.3183 -1.8396 -12.3577
O Ca K P
18 2 1 4
Cartesian
-1.6474 0.0709 -8.3593
-2.2548 -0.9488 -11.7247
-0.1796 5.2409 -2.6088
0.9803 3.2381 -5.5392
1.9270 5.4008 -2.8453
-4.1331 -1.2376 -10.1204
-3.1748 1.0916 -10.4656
-1.1379 2.9126 -2.2635
-2.0563 4.9521 -1.0023
-4.1738 2.0618 -3.3601
0.2036 3.8985 -0.4341
-5.2961 0.7649 -7.1869
-1.6883 2.4837 -7.5424
-0.1382 1.9434 -9.3658
-2.6258 1.5208 -5.1853
-2.6668 3.9341 -4.3701
-6.2393 -1.3968 -9.8829
-4.5145 0.1044 -12.2956
-4.8332 2.5649 -11.5168
0.5206 1.4386 -1.2104
-0.9076 4.9398 -6.4839
-3.5269 -0.2406 -11.1727
-0.7848 4.2442 -1.5558
-0.7934 1.3795 -8.1160
-3.5205 2.6248 -4.6112
```

Values from the calculation:
ΔE_f (raw), eV per atom: -1.47
Total energy, eV per atom: -6.11

***

A plane-wave DFT calculation with PBE was carried out for a geometry-optimized Rb3IrF6 structure.

The structure in POSCAR format:
```
Rb3IrF6
1.0
-2.7477 -0.2148 5.8382
-0.7676 -8.0381 -0.6570
6.8319 -3.0542 3.1030
Rb F Ir
6 12 2
Cartesian
2.1817 -5.4670 3.6903
2.2656 -9.4906 4.2089
0.3037 -5.9050 6.3600
-1.1293 -3.2810 2.8395
-0.2628 -1.9191 6.8671
3.1321 -8.1288 8.2364
5.6092 -3.3440 4.8199
3.1430 -7.9755 2.1175
0.8303 -3.2802 4.7714
3.9650 -3.3181 2.7374
-1.1623 -5.8871 3.7994
0.1513 -7.0597 1.5018
3.0108 -7.2686 5.6509
-2.6915 -7.9942 4.3119
3.2381 -4.2417 6.6278
-0.0392 -7.9413 4.2524
5.0881 -5.3723 3.1904
0.9625 -3.9871 1.2380
5.8950 -3.6571 2.6919
-1.2446 -7.5457 2.7583
```

Values from the calculation:
ΔE_f (raw), eV per atom: -1.99
Total energy, eV per atom: -4.29

***

A plane-wave DFT calculation with PBE was carried out for a geometry-optimized AcCe2B9 structure.

The structure in POSCAR format:
```
AcCe2B9
1.0
-4.7833 -0.3955 0.8526
-2.7143 -3.0228 -2.6942
-1.0864 -7.0348 4.5772
B Ac Ce
9 1 2
Cartesian
-3.9375 -5.6739 3.1492
-5.4144 -3.8042 0.9027
-4.8044 -3.0882 -0.5151
-3.7796 -7.3649 3.2507
-4.2920 -5.2265 1.3678
-4.6465 -4.7792 -0.4136
-4.9448 -6.7957 2.1493
-3.6392 -3.6574 0.5863
-3.1696 -6.6489 1.8329
0.0000 0.0000 0.0000
-1.7125 -4.4222 2.2767
-6.8715 -6.0309 0.4588
```

Values from the calculation:
Formation energy from the elements, eV per atom: 0.31
Total energy, eV per atom: -6.03

***

A plane-wave DFT calculation with PBE was carried out for a geometry-optimized PuHgTe2O8 structure.

The structure in POSCAR format:
```
PuHgTe2O8
1.0
-5.3425 2.1980 -1.7094
-4.9162 -5.2075 -1.9473
-5.6038 -2.8762 3.1992
Te O Pu Hg
2 8 1 1
Cartesian
-3.7599 -1.0329 -0.1933
-12.1025 -4.8528 -0.2642
-11.0813 -1.9714 0.2492
-8.7802 -0.3422 0.9054
-8.8791 -4.1583 1.1708
-6.9834 -1.7274 -1.6284
-7.0823 -5.5436 -1.3629
-6.3329 -1.3490 1.6885
-4.7811 -3.9143 -0.7067
-9.5295 -4.5367 -2.1460
0.0000 0.0000 0.0000
-7.9312 -2.9429 -0.2288
```

Values from the calculation:
ΔE_f (raw), eV per atom: -1.42
Total energy, eV per atom: -6.46

***

A plane-wave DFT calculation with PBE was carried out for a geometry-optimized LaEr2Fe structure.

The structure in POSCAR format:
```
LaEr2Fe
1.0
-2.0583 -2.6355 -0.1962
0.9695 -0.9842 3.0516
-6.7819 5.0158 3.7723
Er La Fe
2 1 1
Cartesian
-5.6206 4.1569 3.1263
-1.1612 0.8588 0.6459
-3.9354 0.6980 3.3139
-0.5444 -1.8099 1.4277
```

Values from the calculation:
Formation energy from the elements, eV per atom: 0.05
Total energy, eV per atom: -5.58

***

A plane-wave DFT calculation with PBE was carried out for a geometry-optimized MnSbP2 structure.

The structure in POSCAR format:
```
MnSbP2
1.0
-1.9250 2.6574 0.2329
-3.4116 -2.6257 1.7609
1.6084 0.7889 4.2924
Sb P Mn
1 2 1
Cartesian
-2.6683 0.0158 0.9969
-0.9016 -0.9184 3.0267
0.0000 0.0000 0.0000
-0.1583 1.7231 2.2627
```

Values from the calculation:
ΔE_f (raw), eV per atom: 0.46
Total energy, eV per atom: -5.57

***

A plane-wave DFT calculation with PBE was carried out for a geometry-optimized SrSb12Os4 structure.

The structure in POSCAR format:
```
SrSb12Os4
1.0
8.1752 0.0000 0.0000
-2.7251 7.7076 0.0000
-2.7251 -3.8538 6.6750
Sr Os Sb
1 4 12
Cartesian
0.0000 0.0000 0.0000
1.3625 1.9269 3.3375
-1.3625 3.8538 0.0000
-1.3625 -1.9269 3.3375
4.0876 0.0000 0.0000
0.0044 3.9510 4.3975
1.7266 0.6151 5.6204
2.7206 -0.0972 2.2775
-0.9985 0.7060 3.3321
-0.0044 -1.8328 5.6204
4.4516 -1.3212 4.3975
-2.7295 1.9300 5.4521
-1.7265 5.1750 2.2775
2.7295 5.6867 1.0546
3.7236 3.1478 3.3429
0.9985 3.2387 1.0546
5.4545 1.9238 1.2229
```

Values from the calculation:
ΔE_f (raw), eV per atom: -0.15
Total energy, eV per atom: -5.80